(1)
## TbDyCuOs (PBE-GGA)

Data for a geometry-optimized TbDyCuOs structure.

a = 4.8625 Å, b = 4.8625 Å, c = 4.8625 Å
α = 60.00°, β = 60.00°, γ = 60.00°
Closest atoms and distances in Å follow each position.
Sites, in units of the cell vectors:
Cu1 0.2500 0.2500 0.2500  4 Tb 2.98, 4 Dy 2.98
Dy1 0.5000 0.5000 0.5000  4 Cu 2.98, 4 Os 2.98
Tb1 0.0000 0.0000 0.0000  4 Os 2.98, 4 Cu 2.98
Os1 0.7500 0.7500 0.7500  4 Tb 2.98, 4 Dy 2.98

Calculated values
E_form	-0.2469	eV per atom
M_tot	0.00	μB/cell
raw total energy	-6.3865	eV/atom

---

(2)
## Ac3Sb4Rh4 (PBE-GGA)

Data for a geometry-optimized Ac3Sb4Rh4 structure.

a = 4.6592 Å, b = 4.5791 Å, c = 13.4973 Å
α = 99.77°, β = 99.94°, γ = 90.00°
Closest atoms and distances in Å follow each position.
Sites, in units of the cell vectors:
Rh1 0.4496 0.4496 0.8992  1 Rh 2.64, 2 Sb 2.65
Rh2 0.5504 0.5504 0.1008  1 Rh 2.64, 2 Sb 2.65
Rh3 0.1997 0.6997 0.3994  5 Sb 2.65-2.67
Rh4 0.8003 0.3003 0.6006  5 Sb 2.65-2.67
Sb1 0.7492 0.7492 0.4984  4 Rh 2.65-2.67
Sb2 0.0983 0.5983 0.1966  3 Rh 2.65-2.66
Sb3 0.2508 0.2508 0.5016  4 Rh 2.65-2.67
Sb4 0.9017 0.4017 0.8034  3 Rh 2.65-2.66
Ac1 0.3552 0.8552 0.7105  6 Rh 3.37-3.57, 8 Sb 3.49-3.62
Ac2 0.0000 0.0000 0.0000  4 Sb 3.45, 8 Rh 3.52
Ac3 0.6448 0.1448 0.2895  6 Rh 3.37-3.57, 8 Sb 3.49-3.62

Calculated values
M_tot	0.00	μB/cell
excess energy over the best structure of this formula in the dataset	52	meV per atom
raw total energy	-6.1213	eV/atom
formation energy from raw total energies	-0.8285	eV/atom

---

(3)
## BaCr3Sn (PBE-GGA)

Data for a geometry-optimized BaCr3Sn structure.

a = 5.2359 Å, b = 5.2359 Å, c = 5.2359 Å
α = 90.00°, β = 90.00°, γ = 90.00°
Closest atoms and distances in Å follow each position.
Sites, in units of the cell vectors:
Sn1 0.5000 0.5000 0.5000  12 Cr 3.70
Cr1 0.0000 0.0000 0.5000  2 Ba 2.62
Cr2 0.0000 0.5000 0.0000  2 Ba 2.62
Cr3 0.5000 0.0000 0.0000  2 Ba 2.62
Ba1 0.0000 0.0000 0.0000  6 Cr 2.62

Calculated values
E_form	2.1517	eV per atom
M_tot	11.91	μB/cell
excess energy over the best structure of this formula in the dataset	1222	meV per atom
raw total energy	-4.8074	eV/atom

---

(4)
## AsHIrOsAu (PBE-GGA)

Data for a geometry-optimized AsHIrOsAu structure.

a = 5.2444 Å, b = 4.6713 Å, c = 7.3094 Å
α = 90.00°, β = 128.40°, γ = 90.00°
Closest atoms and distances in Å follow each position.
Sites, in units of the cell vectors:
Ir1 0.6368 0.0000 0.5331  1 H 1.81
Ir2 0.6368 0.5000 0.0331  1 H 1.81
Au1 0.9036 0.0000 0.2866  2 As 2.64-2.95, 3 Ir 2.76-2.89, 3 H 2.83-2.90
Au2 0.9036 0.5000 0.7866  2 As 2.64-2.95, 3 Ir 2.76-2.89, 3 H 2.83-2.90
As1 0.2262 0.0000 0.1175  1 Ir 2.40, 3 Os 2.46-2.64, 1 Au 2.64, 2 H 2.66
As2 0.2262 0.5000 0.6175  1 Ir 2.40, 3 Os 2.46-2.64, 1 Au 2.64, 2 H 2.66
Os1 0.2772 0.0000 0.8054  1 H 1.75
Os2 0.2772 0.5000 0.3054  1 H 1.75
H1 0.5305 0.5000 0.2259  1 Os 1.75, 1 Ir 1.81
H2 0.5305 0.0000 0.7259  1 Os 1.75, 1 Ir 1.81

Calculated values
M_tot	0.00	μB/cell
excess energy over the best structure of this formula in the dataset	135	meV per atom
raw total energy	-5.8647	eV/atom

---

(5)
## SrLiLa2Ir (PBE-GGA)

Data for a geometry-optimized SrLiLa2Ir structure.

a = 5.5753 Å, b = 5.5753 Å, c = 6.1548 Å
α = 90.00°, β = 90.00°, γ = 90.00°
Closest atoms and distances in Å follow each position.
Sites, in units of the cell vectors:
La1 0.5000 0.0000 0.0000  2 Ir 2.79
La2 0.0000 0.5000 0.0000  2 Ir 2.79
Sr1 0.0000 0.0000 0.5000  2 Ir 3.08
Li1 0.5000 0.5000 0.5000  4 Sr 3.94, 8 La 4.15
Ir1 0.0000 0.0000 0.0000  4 La 2.79, 2 Sr 3.08

Calculated values
E_form	-0.2542	eV per atom
M_tot	0.00	μB/cell
excess energy over the best structure of this formula in the dataset	0	meV per atom
raw total energy	-4.7165	eV/atom

---

(6)
## NaNdPb (PBE-GGA)

Data for a geometry-optimized NaNdPb structure.

a = 5.2902 Å, b = 5.2902 Å, c = 5.2902 Å
α = 60.00°, β = 60.00°, γ = 60.00°
Closest atoms and distances in Å follow each position.
Sites, in units of the cell vectors:
Nd1 0.0000 0.0000 0.0000  4 Pb 3.24
Pb1 0.2500 0.2500 0.2500  4 Na 3.24, 4 Nd 3.24
Na1 0.5000 0.5000 0.5000  4 Pb 3.24

Calculated values
E_form	-0.2403	eV per atom
M_tot	0.00	μB/cell
raw total energy	-3.5053	eV/atom

---

(7)
## NbAgSb (PBE-GGA)

Data for a geometry-optimized NbAgSb structure.

a = 3.6017 Å, b = 3.6017 Å, c = 9.2068 Å
α = 90.00°, β = 90.00°, γ = 90.00°
Closest atoms and distances in Å follow each position.
Sites, in units of the cell vectors:
Nb1 0.0000 0.5000 0.2574  4 Sb 2.83, 5 Ag 3.00-3.09
Nb2 0.5000 0.0000 0.7426  4 Sb 2.83, 5 Ag 3.00-3.09
Sb1 0.5000 0.0000 0.3906  4 Nb 2.83, 1 Ag 2.97
Sb2 0.0000 0.5000 0.6094  4 Nb 2.83, 1 Ag 2.97
Ag1 0.5000 0.0000 0.0680  4 Ag 2.84, 1 Sb 2.97, 5 Nb 3.00-3.09
Ag2 0.0000 0.5000 0.9320  4 Ag 2.84, 1 Sb 2.97, 5 Nb 3.00-3.09

Calculated values
M_tot	0.00	μB/cell
raw total energy	-5.5809	eV/atom
formation energy from raw total energies	0.1002	eV/atom

---

(8)
## Na6HAu2O (PBE-GGA)

Data for a geometry-optimized Na6HAu2O structure.

a = 6.6200 Å, b = 6.6201 Å, c = 6.6044 Å
α = 120.05°, β = 120.05°, γ = 90.00°
Closest atoms and distances in Å follow each position.
Sites, in units of the cell vectors:
Au1 0.2495 0.7509 0.4999  12 Na 3.30-3.31
Au2 0.7505 0.2500 0.4999  12 Na 3.30-3.31
O1 0.9998 0.0003 0.9997  6 Na 2.26
H1 0.5001 0.5006 0.0002  6 Na 2.40-2.42
Na1 0.2412 0.7589 0.9997  1 O 2.26, 1 H 2.42
Na2 0.2412 0.2417 0.9997  1 O 2.26, 1 H 2.42
Na3 0.7579 0.7584 0.5156  1 O 2.26, 1 H 2.40
Na4 0.7585 0.7590 0.9998  1 O 2.26, 1 H 2.42
Na5 0.7585 0.2417 0.9996  1 O 2.26, 1 H 2.42
Na6 0.2418 0.2424 0.4838  1 O 2.26, 1 H 2.41

Calculated values
M_tot	0.00	μB/cell
raw total energy	-2.7892	eV/atom

---

(9)
## ScReH3 (PBE-GGA)

Data for a geometry-optimized ScReH3 structure.

a = 3.5524 Å, b = 3.5524 Å, c = 3.5524 Å
α = 90.00°, β = 90.00°, γ = 90.00°
Closest atoms and distances in Å follow each position.
Sites, in units of the cell vectors:
H1 0.0000 0.0000 0.5000  2 Re 1.78
H2 0.5000 0.0000 0.0000  2 Re 1.78
H3 0.0000 0.5000 0.0000  2 Re 1.78
Sc1 0.5000 0.5000 0.5000  12 H 2.51
Re1 0.0000 0.0000 0.0000  6 H 1.78

Calculated values
M_tot	0.00	μB/cell
excess energy over the best structure of this formula in the dataset	0	meV per atom
raw total energy	-5.8995	eV/atom

---

(10)
## IrRuRh2 (PBE-GGA)

Data for a geometry-optimized IrRuRh2 structure.

a = 5.4799 Å, b = 5.4799 Å, c = 6.8037 Å
α = 66.25°, β = 66.25°, γ = 90.00°
Closest atoms and distances in Å follow each position.
Sites, in units of the cell vectors:
Ru1 0.2500 0.7500 0.5000  4 Rh 2.38
Ru2 0.5000 0.5000 0.0000  4 Rh 2.38
Rh1 0.8750 0.8708 0.7500  2 Ru 2.38, 2 Ir 2.40
Rh2 0.6208 0.1250 0.2500  2 Ru 2.38, 2 Ir 2.40
Rh3 0.1292 0.6250 0.2500  2 Ru 2.38, 2 Ir 2.40
Rh4 0.3750 0.3792 0.7500  2 Ru 2.38, 2 Ir 2.40
Ir1 0.0000 0.0000 0.0000  4 Rh 2.40
Ir2 0.7500 0.2500 0.5000  4 Rh 2.40

Calculated values
E_form	1.1203	eV per atom
M_tot	0.00	μB/cell
excess energy over the best structure of this formula in the dataset	1131	meV per atom
raw total energy	-7.0896	eV/atom

---

(11)
## CsBiSb3 (PBE-GGA)

Data for a geometry-optimized CsBiSb3 structure.

a = 6.0503 Å, b = 6.0503 Å, c = 6.0503 Å
α = 90.00°, β = 90.00°, γ = 90.00°
Closest atoms and distances in Å follow each position.
Sites, in units of the cell vectors:
Sb1 0.0000 0.0000 0.5000  2 Cs 3.03
Sb2 0.5000 0.0000 0.0000  2 Cs 3.03
Sb3 0.0000 0.5000 0.0000  2 Cs 3.03
Bi1 0.5000 0.5000 0.5000  12 Sb 4.28
Cs1 0.0000 0.0000 0.0000  6 Sb 3.03

Calculated values
M_tot	0.00	μB/cell
excess energy over the best structure of this formula in the dataset	1122	meV per atom
raw total energy	-1.9073	eV/atom
formation energy from raw total energies	1.5130	eV/atom

---

(12)
## Nd3Y4Er2 (PBE-GGA)

Data for a geometry-optimized Nd3Y4Er2 structure.

a = 6.0802 Å, b = 11.3045 Å, c = 11.3045 Å
α = 62.46°, β = 63.81°, γ = 63.81°
Closest atoms and distances in Å follow each position.
Sites, in units of the cell vectors:
Y1 0.4276 0.5868 0.8429  5 Nd 3.39-3.72, 3 Er 3.44-3.51, 1 Y 3.47
Y2 0.4189 0.9165 0.1835  1 Er 3.35, 5 Nd 3.44-3.72, 3 Y 3.45-3.54
Y3 0.9189 0.1835 0.9165  1 Er 3.35, 5 Nd 3.44-3.72, 3 Y 3.45-3.54
Y4 0.0811 0.8165 0.0835  1 Er 3.35, 5 Nd 3.44-3.72, 3 Y 3.45-3.54
Y5 0.0724 0.1571 0.4132  5 Nd 3.39-3.72, 3 Er 3.44-3.51, 1 Y 3.47
Y6 0.5811 0.0835 0.8165  1 Er 3.35, 5 Nd 3.44-3.72, 3 Y 3.45-3.54
Y7 0.9276 0.8429 0.5868  5 Nd 3.39-3.72, 3 Er 3.44-3.51, 1 Y 3.47
Y8 0.5724 0.4132 0.1571  5 Nd 3.39-3.72, 3 Er 3.44-3.51, 1 Y 3.47
Nd1 0.7500 0.3975 0.6025  6 Er 3.38-3.74, 4 Y 3.55-3.58
Nd2 0.7535 0.7243 0.9412  8 Y 3.39-3.72, 2 Er 3.46-3.63
Nd3 0.2500 0.6025 0.3975  6 Er 3.38-3.74, 4 Y 3.55-3.58
Nd4 0.2535 0.9412 0.7243  8 Y 3.39-3.72, 2 Er 3.46-3.63
Nd5 0.2465 0.2757 0.0588  8 Y 3.39-3.72, 2 Er 3.46-3.63
Nd6 0.7465 0.0588 0.2757  8 Y 3.39-3.72, 2 Er 3.46-3.63
Er1 0.4128 0.2497 0.5209  4 Y 3.35-3.51, 5 Nd 3.38-3.74
Er2 0.5872 0.7503 0.4791  4 Y 3.35-3.51, 5 Nd 3.38-3.74
Er3 0.0872 0.4791 0.7503  4 Y 3.35-3.51, 5 Nd 3.38-3.74
Er4 0.9128 0.5209 0.2497  4 Y 3.35-3.51, 5 Nd 3.38-3.74

Calculated values
E_form	0.0988	eV per atom
M_tot	0.00	μB/cell
excess energy over the best structure of this formula in the dataset	79	meV per atom
raw total energy	-5.3774	eV/atom